The following is a DFT calculation (GGA-PBE) of Be2SeCl after structural relaxation.

Results
* offset from the most stable computed form: 557 meV per atom
* energy relative to the elements, uncorrected: 148 meV/atom
* mass density: 3.1 Mg/m³

Lattice parameters (Å, degrees): 3.2807 6.5395 3.2693 90.00 90.00 90.00
Atoms (fractional coordinates):
Be 0.0000 0.0000 0.0000
Be 0.5000 0.5000 0.0000
Cl 0.5000 0.0000 0.5000
Se 0.0000 0.5000 0.5000


The following is a DFT calculation (GGA-PBE) of InCu2Te after structural relaxation.

Results
* offset from the most stable computed form: 199 meV per atom
* energy relative to the elements, uncorrected: 253 meV/atom
* mass density: 7.7 Mg/m³

Lattice parameters (Å, degrees): 5.8358 5.8358 5.8358 140.66 140.66 56.85
Atoms (fractional coordinates):
In 0.5000 0.5000 0.0000
Cu 0.0000 0.0000 0.0000
Cu 0.2500 0.7500 0.5000
Te 0.7500 0.2500 0.5000


The following is a DFT calculation (GGA-PBE) of CuH2Pd2 after structural relaxation.

Results
* offset from the most stable computed form: 315 meV per atom
* mass density: 8.0 Mg/m³

Lattice parameters (Å, degrees): 6.4660 6.4660 2.7668 90.00 90.00 90.00
Atoms (fractional coordinates):
Pd 0.3516 0.8516 0.0000
Pd 0.8516 0.6484 0.0000
Pd 0.6484 0.1484 0.0000
Pd 0.1484 0.3516 0.0000
Cu 0.5000 0.5000 0.0000
Cu 0.0000 0.0000 0.0000
H 0.7626 0.2626 0.5000
H 0.2626 0.2374 0.5000
H 0.7374 0.7626 0.5000
H 0.2374 0.7374 0.5000


The following is a DFT calculation (GGA-PBE) of Pm3USe6 after structural relaxation.

Results
* offset from the most stable computed form: 70 meV per atom
* energy relative to the elements, uncorrected: -1600 meV/atom
* mass density: 6.5 Mg/m³

Lattice parameters (Å, degrees): 7.2452 9.0786 9.0786 102.24 90.00 90.00
Site moments in Bohr magnetons follow the coordinates.
Atoms (fractional coordinates):
U 0.9973 0.1659 0.8341  2.71
U 0.4973 0.8341 0.1659  2.71
Pm 0.9856 0.7073 0.9151  0.03
Pm 0.8789 0.5956 0.4044  0.01
Pm 0.4856 0.2927 0.0849  0.03
Pm 0.9856 0.0849 0.2927  0.03
Pm 0.3789 0.4044 0.5956  0.01
Pm 0.4856 0.9151 0.7073  0.03
Se 0.6292 0.2308 0.7692  -0.03
Se 0.1768 0.3686 0.3024  0.00
Se 0.6768 0.3024 0.3686  0.00
Se 0.7017 0.5674 0.0970  -0.03
Se 0.2517 0.0072 0.9928  -0.03
Se 0.1292 0.7692 0.2308  -0.03
Se 0.7517 0.9928 0.0072  -0.03
Se 0.7017 0.9030 0.4326  -0.03
Se 0.2017 0.0970 0.5674  -0.03
Se 0.6768 0.6314 0.6976  0.00
Se 0.2017 0.4326 0.9030  -0.03
Se 0.1768 0.6976 0.6314  0.00


The following is a DFT calculation (GGA-PBE) of Sr2LiAu4 after structural relaxation.

Results
* energy of formation: -3.853 eV per formula unit
* mass density: 8.9 Mg/m³

Lattice parameters (Å, degrees): 4.7661 4.7661 8.6488 74.01 74.01 90.00
Atoms (fractional coordinates):
Sr 0.6444 0.6444 0.7112
Sr 0.3556 0.3556 0.2888
Au 0.0000 0.5000 0.0000
Au 0.1575 0.1575 0.6849
Au 0.8425 0.8425 0.3151
Au 0.5000 0.0000 0.0000
Li 0.0000 0.0000 0.0000


The following is a DFT calculation (GGA-PBE) of Na2CaIn8 after structural relaxation.

Results
* energy of formation: -1.670 eV per formula unit
* mass density: 5.6 Mg/m³

Lattice parameters (Å, degrees): 6.3756 5.0561 11.8875 101.88 121.80 67.14
Atoms (fractional coordinates):
In 0.0475 0.7023 0.9502
In 0.4578 0.8667 0.6876
In 0.7393 0.6378 0.5151
In 0.9525 0.2977 0.0498
In 0.2607 0.3622 0.4849
In 0.3059 0.4870 0.7781
In 0.5422 0.1333 0.3124
In 0.6941 0.5130 0.2219
Na 0.8706 0.1765 0.7223
Na 0.1294 0.8235 0.2777
Ca 0.5000 0.0000 0.0000


The following is a DFT calculation (GGA-PBE) of Pa2GaPt after structural relaxation.

Results
* offset from the most stable computed form: 220 meV per atom
* energy of formation: -1.362 eV per formula unit
* mass density: 13.7 Mg/m³

Lattice parameters (Å, degrees): 5.1543 5.1543 4.8497 57.90 57.90 60.00
Atoms (fractional coordinates):
Ga 0.5000 0.5000 0.5000
Pa 0.7529 0.7529 0.7412
Pa 0.2471 0.2471 0.2588
Pt 0.0000 0.0000 0.0000


The following is a DFT calculation (GGA-PBE) of K2MgBO4 after structural relaxation.

Results
* energy relative to the elements, uncorrected: -1816 meV/atom
* mass density: 2.2 Mg/m³

Lattice parameters (Å, degrees): 4.6736 6.0045 10.7249 85.14 77.42 67.10
Site moments in Bohr magnetons follow the coordinates.
Atoms (fractional coordinates):
O 0.9468 0.6603 0.5821  0.21
O 0.1893 0.3397 0.4179  0.21
O 0.3571 0.8397 0.0821  0.21
O 0.5607 0.1603 0.0821  0.21
O 0.4711 0.3397 0.5821  0.21
O 0.3929 0.6603 0.4179  0.21
O 0.2789 0.1603 0.9179  0.21
O 0.8032 0.8397 0.9179  0.21
B 0.5000 0.0000 0.0000  -0.02
B 0.2500 0.5000 0.5000  -0.02
K 0.1756 0.0000 0.6488  0.00
K 0.5744 0.5000 0.8512  0.00
K 0.8244 0.0000 0.3512  0.00
K 0.9256 0.5000 0.1488  0.00
Mg 0.7500 0.5000 0.5000  -0.01
Mg 0.0000 0.0000 0.0000  -0.01


The following is a DFT calculation (GGA-PBE) of CsScTeI2 after structural relaxation.

Results
* offset from the most stable computed form: 1617 meV per atom
* energy relative to the elements, uncorrected: 397 meV/atom
* mass density: 3.3 Mg/m³

Lattice parameters (Å, degrees): 6.7535 6.7535 6.2140 90.00 90.00 90.00
Site moments in Bohr magnetons follow the coordinates.
Atoms (fractional coordinates):
Cs 0.0000 0.0000 0.0000  0.00
I 0.0000 0.5000 0.0000  0.04
I 0.5000 0.0000 0.0000  0.04
Te 0.0000 0.0000 0.5000  0.11
Sc 0.5000 0.5000 0.5000  -1.04


The following is a DFT calculation (GGA-PBE) of Mg3As after structural relaxation.

Results
* energy of formation: 1.150 eV per formula unit
* mass density: 1.8 Mg/m³

Lattice parameters (Å, degrees): 5.1886 5.1886 5.1886 90.00 90.00 90.00
Atoms (fractional coordinates):
Mg 0.0000 0.5000 0.0000
Mg 0.5000 0.0000 0.0000
Mg 0.0000 0.0000 0.5000
As 0.0000 0.0000 0.0000


The following is a DFT calculation (GGA-PBE) of CsPb2Br5 after structural relaxation.

Results
* offset from the most stable computed form: 0 meV per atom
* energy relative to the elements, uncorrected: -1152 meV/atom
* mass density: 5.4 Mg/m³

Lattice parameters (Å, degrees): 10.0053 10.0053 10.0053 129.16 129.16 74.75
Atoms (fractional coordinates):
Br 0.2774 0.4718 0.5000
Br 0.5000 0.5000 0.0000
Br 0.5282 0.0282 0.8055
Br 0.0000 0.0000 0.0000
Br 0.9718 0.7774 0.5000
Br 0.7774 0.2774 0.8055
Br 0.7226 0.5282 0.5000
Br 0.0282 0.2226 0.5000
Br 0.4718 0.9718 0.1945
Br 0.2226 0.7226 0.1945
Pb 0.8313 0.3313 0.1626
Pb 0.1687 0.6687 0.8374
Pb 0.6687 0.8313 0.5000
Pb 0.3313 0.1687 0.5000
Cs 0.7500 0.7500 0.0000
Cs 0.2500 0.2500 0.0000


The following is a DFT calculation (GGA-PBE) of Hf2ZrS6 after structural relaxation.

Results
* offset from the most stable computed form: 0 meV per atom
* energy relative to the elements, uncorrected: -1561 meV/atom
* mass density: 4.5 Mg/m³

Lattice parameters (Å, degrees): 3.6613 8.0698 8.8434 110.29 101.95 90.00
Atoms (fractional coordinates):
S 0.9902 0.7686 0.9805
S 0.6752 0.5600 0.3504
S 0.3248 0.4400 0.6496
S 0.0098 0.2314 0.0195
S 0.3405 0.8926 0.6809
S 0.6595 0.1074 0.3191
Hf 0.1672 0.3335 0.3344
Hf 0.8328 0.6665 0.6656
Zr 0.5000 0.0000 0.0000


The following is a DFT calculation (GGA-PBE) of GdPuPbAu after structural relaxation.

Results
* energy of formation: -1.721 eV per formula unit
* mass density: 12.6 Mg/m³

Lattice parameters (Å, degrees): 5.3158 5.3158 5.3158 60.00 60.00 60.00
Site moments in Bohr magnetons follow the coordinates.
Atoms (fractional coordinates):
Pb 0.5000 0.5000 0.5000  -0.06
Gd 0.2500 0.2500 0.2500  7.21
Au 0.0000 0.0000 0.0000  0.03
Pu 0.7500 0.7500 0.7500  5.45


The following is a DFT calculation (GGA-PBE) of SmTm2UP4 after structural relaxation.

Results
* energy of formation: -11.426 eV per formula unit
* mass density: 7.9 Mg/m³

Lattice parameters (Å, degrees): 3.9707 6.9028 6.8782 109.26 90.00 90.00
Site moments in Bohr magnetons follow the coordinates.
Atoms (fractional coordinates):
Tm 0.5000 0.0000 0.5000  0.01
Tm 0.0000 0.5000 0.5000  0.02
U 0.0000 0.0000 0.0000  1.94
P 0.5000 0.2445 0.2514  -0.04
P 0.0000 0.7600 0.2537  -0.03
P 0.0000 0.2400 0.7463  -0.03
P 0.5000 0.7555 0.7486  -0.04
Sm 0.5000 0.5000 0.0000  0.02


The following is a DFT calculation (GGA-PBE) of KInOs2O8 after structural relaxation.

Results
* energy relative to the elements, uncorrected: -1060 meV/atom
* mass density: 5.1 Mg/m³

Lattice parameters (Å, degrees): 5.5860 5.5860 8.0307 90.00 90.00 120.00
Site moments in Bohr magnetons follow the coordinates.
Atoms (fractional coordinates):
O 0.3333 0.6667 0.9611  0.17
O 0.0587 0.3320 0.6676  0.16
O 0.2733 0.9413 0.6676  0.16
O 0.7267 0.0587 0.3324  0.16
O 0.6667 0.3333 0.0389  0.17
O 0.9413 0.6680 0.3324  0.16
O 0.6680 0.7267 0.6676  0.16
O 0.3320 0.2733 0.3324  0.16
Os 0.3333 0.6667 0.7410  1.11
Os 0.6667 0.3333 0.2590  1.11
K 0.0000 0.0000 0.0000  0.00
In 0.0000 0.0000 0.5000  0.10


The following is a DFT calculation (GGA-PBE) of PuCdBi2 after structural relaxation.

Results
* offset from the most stable computed form: 210 meV per atom
* energy of formation: -0.180 eV per formula unit
* mass density: 9.9 Mg/m³

Lattice parameters (Å, degrees): 4.7069 4.7069 7.2725 71.12 71.12 60.00
Site moments in Bohr magnetons follow the coordinates.
Atoms (fractional coordinates):
Pu 0.6683 0.6683 0.9952  5.38
Cd 0.4970 0.4970 0.5090  0.00
Bi 0.2510 0.2510 0.2469  -0.04
Bi 0.0837 0.0837 0.7489  -0.03


The following is a DFT calculation (GGA-PBE) of KSbTe2O after structural relaxation.

Results
* offset from the most stable computed form: 0 meV per atom
* energy relative to the elements, uncorrected: -209 meV/atom
* mass density: 5.7 Mg/m³

Lattice parameters (Å, degrees): 5.1320 5.1320 4.7863 90.00 90.00 90.00
Atoms (fractional coordinates):
Sb 0.0000 0.0000 0.5000
Te 0.0000 0.5000 0.0000
Te 0.5000 0.0000 0.0000
K 0.5000 0.5000 0.5000
O 0.0000 0.0000 0.0000


The following is a DFT calculation (GGA-PBE) of Ca2Sc2Ge after structural relaxation.

Results
* energy of formation: -0.437 eV per formula unit
* mass density: 2.8 Mg/m³

Lattice parameters (Å, degrees): 7.2943 7.2943 5.4413 90.00 90.00 90.00
Atoms (fractional coordinates):
Ca 0.1662 0.6662 0.5000
Ca 0.3338 0.1662 0.5000
Ca 0.6662 0.8338 0.5000
Ca 0.8338 0.3338 0.5000
Sc 0.8452 0.6548 0.0000
Sc 0.3452 0.8452 0.0000
Sc 0.1548 0.3452 0.0000
Sc 0.6548 0.1548 0.0000
Ge 0.0000 0.0000 0.0000
Ge 0.5000 0.5000 0.0000


The following is a DFT calculation (GGA-PBE) of Cs2PaGaS4 after structural relaxation.

Results
* energy relative to the elements, uncorrected: -1045 meV/atom
* mass density: 3.7 Mg/m³

Lattice parameters (Å, degrees): 6.1384 8.3167 13.6304 85.23 76.99 68.34
Atoms (fractional coordinates):
S 0.9248 0.7986 0.8915
S 0.8252 0.7014 0.6085
S 0.1837 0.2014 0.8915
S 0.4734 0.7014 0.3915
S 0.2766 0.7986 0.1085
S 0.5663 0.2986 0.6085
S 0.1351 0.2986 0.3915
S 0.6149 0.2014 0.1085
Cs 0.9264 0.5000 0.1472
Cs 0.8236 0.0000 0.3528
Cs 0.5736 0.5000 0.8528
Cs 0.1764 0.0000 0.6472
Pa 0.7500 0.5000 0.5000
Pa 0.0000 0.0000 0.0000
Ga 0.2500 0.5000 0.5000
Ga 0.5000 0.0000 0.0000


The following is a DFT calculation (GGA-PBE) of CdRh3F6 after structural relaxation.

Results
* energy relative to the elements, uncorrected: -1138 meV/atom
* mass density: 5.4 Mg/m³

Lattice parameters (Å, degrees): 5.0532 7.7970 6.6857 48.23 87.39 112.46
Site moments in Bohr magnetons follow the coordinates.
Atoms (fractional coordinates):
Rh 0.5000 0.5000 0.0000  0.79
Rh 0.0000 0.0000 0.5000  0.24
Rh 0.0000 0.5000 0.0000  1.29
F 0.4184 0.3921 0.7952  0.01
F 0.0989 0.8315 0.3990  0.02
F 0.2245 0.9114 0.7720  0.02
F 0.5816 0.6079 0.2048  0.01
F 0.9011 0.1685 0.6010  0.02
F 0.7755 0.0886 0.2280  0.02
Cd 0.0000 0.0000 0.0000  0.00


The following is a DFT calculation (GGA-PBE) of MnTlSnI5 after structural relaxation.

Results
* energy relative to the elements, uncorrected: -497 meV/atom
* mass density: 4.6 Mg/m³

Lattice parameters (Å, degrees): 8.5117 8.5117 11.4211 104.57 104.57 105.12
Site moments in Bohr magnetons follow the coordinates.
Atoms (fractional coordinates):
Sn 0.0000 0.0000 0.5000  0.02
Sn 0.0000 0.0000 0.0000  0.02
I 0.0942 0.9058 0.2500  0.00
I 0.6597 0.0803 0.3694  0.04
I 0.9197 0.3403 0.1306  0.04
I 0.3879 0.2597 0.0595  0.04
I 0.9058 0.0942 0.7500  0.00
I 0.3403 0.9197 0.6306  0.04
I 0.6121 0.7403 0.9405  0.04
I 0.2597 0.3879 0.5595  0.04
I 0.0803 0.6597 0.8694  0.04
I 0.7403 0.6121 0.4405  0.04
Mn 0.6828 0.3172 0.2500  4.27
Mn 0.3172 0.6828 0.7500  4.27
Tl 0.3520 0.6480 0.2500  0.01
Tl 0.6480 0.3520 0.7500  0.01


The following is a DFT calculation (GGA-PBE) of LiI2NO after structural relaxation.

Results
* offset from the most stable computed form: 318 meV per atom
* energy relative to the elements, uncorrected: 1012 meV/atom
* mass density: 4.1 Mg/m³

Lattice parameters (Å, degrees): 5.9203 5.9203 3.3513 90.00 90.00 90.00
Site moments in Bohr magnetons follow the coordinates.
Atoms (fractional coordinates):
N 0.5000 0.5000 0.5000  1.82
O 0.0000 0.0000 0.5000  0.00
I 0.0000 0.5000 0.0000  0.07
I 0.5000 0.0000 0.0000  0.07
Li 0.0000 0.0000 0.0000  0.00


The following is a DFT calculation (GGA-PBE) of Pu3AsSe2 after structural relaxation.

Results
* energy relative to the elements, uncorrected: -1385 meV/atom
* mass density: 10.5 Mg/m³

Lattice parameters (Å, degrees): 7.2093 7.2016 7.2016 119.98 99.60 99.60
Site moments in Bohr magnetons follow the coordinates.
Atoms (fractional coordinates):
Pu 0.0000 0.5000 0.0000  5.36
Pu 0.9994 0.8280 0.6640  5.36
Pu 0.5006 0.3360 0.1720  5.36
Pu 0.4994 0.6640 0.8280  5.36
Pu 0.0006 0.1720 0.3360  5.36
Pu 0.5000 0.0000 0.5000  5.36
Se 0.7500 0.0832 0.9168  -0.11
Se 0.7500 0.7511 0.2489  -0.11
Se 0.2500 0.2489 0.7511  -0.11
Se 0.2500 0.9168 0.0832  -0.11
As 0.7500 0.4153 0.5847  -0.14
As 0.2500 0.5847 0.4153  -0.14